Material: KHf3Rh
Method: DFT, SCAN
State: PBEsol geometry

Values from the calculation:
Crystal system: cubic
Formation energy from the elements, kcal/mol of atoms: 10.30

Lattice parameters (Å, degrees): 5.060 5.060 5.060 90.00 90.00 90.00
Space group Pm-3m (No. 221)
Symmetry-distinct sites (fractional):
1 K 0.000 0.000 0.000 [1 per cell]
2 Hf 0.000 0.500 0.500 [3 per cell]
3 Rh 0.500 0.500 0.500 [1 per cell]